Entry from the Alexandria database: VB2Mo after structural relaxation (PBE-GGA).

Cell lengths 3.098, 3.098, 5.347 Å; angles 73.16, 73.16, 60.00 degrees
Atoms (fractional coordinates):
B (0.747, 0.747, 0.760)
B (0.253, 0.253, 0.240)
Mo (0.500, 0.500, 0.500)
V (0.000, 0.000, 0.000)

Computed properties:
- polymorph energy (0 for the lowest one) (eV/f.u.) = 1.32
- volume (Å³/atom) = 10.5
- space-group type = R-3m
- ΔE_f (eV per atom) = -0.366